# BeTc2Mo

An optimized crystal structure of BeTc2Mo (PBE, the Alexandria database). Values from VASP.

Output
- Magnetic moment: 0.00 μB/atom
- Electronic total energy: -34.69 eV/cell
- DFT formation energy: 0.1508 eV per atom

```
&SYSTEM
  ibrav = 0, nat = 4, ntyp = 3
/
ATOMIC_SPECIES
Tc 98.00 Tc.upf
Mo 95.94 Mo.upf
Be 9.01 Be.upf
ATOMIC_POSITIONS crystal
Tc 0.2500 0.2500 0.2500
Tc 0.0000 0.0000 0.0000
Mo 0.7500 0.7500 0.7500
Be 0.5000 0.5000 0.5000
CELL_PARAMETERS angstrom
4.2661 0.0000 0.0000
2.1330 3.6945 0.0000
2.1330 1.2315 3.4832
```